(1)
DFT (GGA-PBE) results for a geometry-optimized Th2MnCu structure.

The energy above the most stable polymorph in this dataset is 0.000 eV/atom. The formation energy comes out at 0.0920 eV/atom. The total magnetization is 2.1 μB/f.u.

The structure belongs to space group P4/mmm (No. 123); the cell edges are 5.0533, 5.0533 and 3.5596 Å and the angles 90.00°, 90.00° and 90.00°. The distinct sites, in fractional coordinates, are Th at (0.0000, 0.5000, 0.0000), Mn at (0.0000, 0.0000, 0.5000) and Cu at (0.5000, 0.5000, 0.5000).

(2)
DFT (GGA-PBE) results for a geometry-optimized ThMnCu2 structure.

The formation energy comes out at 0.0269 eV/atom. The total magnetization is 3.6 μB/f.u.

The structure belongs to space group R-3m (No. 166, hexagonal axes); the cell edges are 4.3064, 4.3064 and 14.1495 Å and the angles 90.00°, 90.00° and 120.00°. The distinct sites, in fractional coordinates, are Th at (0.0000, 0.0000, 0.0000), Mn at (0.0000, 0.0000, 0.5000) and Cu at (0.0000, 0.0000, 0.2056).

(3)
DFT (GGA-PBE) results for a geometry-optimized Th2MnCu structure.

The energy above the most stable polymorph in this dataset is 0.517 eV/atom. The formation energy comes out at 0.6085 eV/atom. The total magnetization is 3.2 μB/f.u.

The structure belongs to space group R-3m (No. 166, hexagonal axes); the cell edges are 3.3190, 3.3190 and 30.8139 Å and the angles 90.00°, 90.00° and 120.00°. The distinct sites, in fractional coordinates, are Th at (0.0000, 0.0000, 0.0907), Mn at (0.0000, 0.0000, 0.0000) and Cu at (0.0000, 0.0000, 0.5000).

(4)
DFT (GGA-PBE) results for a geometry-optimized Th2MnCu structure.

The energy above the most stable polymorph in this dataset is 0.019 eV/atom. The formation energy comes out at 0.1113 eV/atom. The total magnetization is 2.0 μB/f.u.

The structure belongs to space group Fm-3m (No. 225); the cell edges are 7.1345, 7.1345 and 7.1345 Å and the angles 90.00°, 90.00° and 90.00°. The distinct sites, in fractional coordinates, are Th at (0.2500, 0.2500, 0.2500), Mn at (0.0000, 0.0000, 0.0000) and Cu at (0.0000, 0.0000, 0.5000).

(5)
DFT (GGA-PBE) results for a geometry-optimized Th2MnZn3Cu12 structure.

The formation energy comes out at 0.1701 eV/atom. The total magnetization is 2.9 μB/f.u.

The structure belongs to space group R-3m (No. 166, hexagonal axes); the cell edges are 6.1818, 6.1818 and 26.9039 Å and the angles 90.00°, 90.00° and 120.00°. The distinct sites, in fractional coordinates, are Th at (0.0000, 0.0000, 0.1501), Mn at (0.0000, 0.0000, 0.5000), Zn at (0.0000, 0.5000, 0.0000), Cu at (0.0346, 0.5173, 0.0971) and Cu at (0.0756, 0.5378, 0.6180).

(6)
DFT (GGA-PBE) results for a geometry-optimized TiMn4Cu structure.

The formation energy comes out at 0.0227 eV/atom. The total magnetization is 0.0 μB/f.u.

The structure belongs to space group F-43m (No. 216); the cell edges are 6.6236, 6.6236 and 6.6236 Å and the angles 90.00°, 90.00° and 90.00°. The distinct sites, in fractional coordinates, are Ti at (0.0000, 0.0000, 0.0000), Mn at (0.1240, 0.1240, 0.6240) and Cu at (0.2500, 0.2500, 0.2500).

(7)
DFT (GGA-PBE) results for a geometry-optimized Ti2Mn2Cu structure.

The formation energy comes out at 0.0332 eV/atom. The total magnetization is 0.2 μB/f.u.

The structure belongs to space group P4/mbm (No. 127); the cell edges are 6.1749, 6.1749 and 3.6218 Å and the angles 90.00°, 90.00° and 90.00°. The distinct sites, in fractional coordinates, are Ti at (0.1824, 0.3176, 0.0000), Mn at (0.1187, 0.6187, 0.5000) and Cu at (0.0000, 0.0000, 0.5000).

(8)
DFT (GGA-PBE) results for a geometry-optimized Ti3Mn2Cu structure.

The formation energy comes out at -0.2205 eV/atom. The total magnetization is 0.0 μB/f.u.

The structure belongs to space group P4/mmm (No. 123); the cell edges are 3.0077, 3.0077 and 9.0763 Å and the angles 90.00°, 90.00° and 90.00°. The distinct sites, in fractional coordinates, are Ti at (0.0000, 0.0000, 0.0000), Ti at (0.0000, 0.0000, 0.3171), Mn at (0.5000, 0.5000, 0.1686) and Cu at (0.5000, 0.5000, 0.5000).

(9)
DFT (GGA-PBE) results for a geometry-optimized Ti2MnCu structure.

The formation energy comes out at 0.4579 eV/atom. The total magnetization is 2.0 μB/f.u.

The structure belongs to space group I-42d (No. 122); the cell edges are 3.7177, 3.7177 and 18.1403 Å and the angles 90.00°, 90.00° and 90.00°. The distinct sites, in fractional coordinates, are Ti at (0.2459, 0.2500, 0.1250), Mn at (0.0000, 0.0000, 0.0000) and Cu at (0.0000, 0.0000, 0.5000).

(10)
DFT (GGA-PBE) results for a geometry-optimized Ti4Mn3Cu structure.

The formation energy comes out at -0.2072 eV/atom. The total magnetization is 0.0 μB/f.u.

The structure belongs to space group Pmmm (No. 47); the cell edges are 3.0212, 4.2881 and 8.3304 Å and the angles 90.00°, 90.00° and 90.00°. The distinct sites, in fractional coordinates, are Ti at (0.0000, 0.0000, 0.0000), Ti at (0.0000, 0.0000, 0.5000), Ti at (0.0000, 0.5000, 0.2371), Mn at (0.5000, 0.0000, 0.2552), Mn at (0.5000, 0.5000, 0.0000) and Cu at (0.5000, 0.5000, 0.5000).

(11)
DFT (GGA-PBE) results for a geometry-optimized Ti6MnCu structure.

The formation energy comes out at -0.0670 eV/atom. The total magnetization is 0.0 μB/f.u.

The structure belongs to space group I4/mmm (No. 139); the cell edges are 4.2343, 4.2343 and 13.8068 Å and the angles 90.00°, 90.00° and 90.00°. The distinct sites, in fractional coordinates, are Ti at (0.0000, 0.0000, 0.2475), Ti at (0.0000, 0.5000, 0.1110), Mn at (0.0000, 0.0000, 0.0000) and Cu at (0.0000, 0.0000, 0.5000).

(12)
DFT (GGA-PBE) results for a geometry-optimized TiMnCu structure.

The energy above the most stable polymorph in this dataset is 0.381 eV/atom. The formation energy comes out at 0.3660 eV/atom. The total magnetization is 0.0 μB/f.u.

The structure belongs to space group R-3m (No. 166, hexagonal axes); the cell edges are 4.0651, 4.0651 and 19.0058 Å and the angles 90.00°, 90.00° and 120.00°. The distinct sites, in fractional coordinates, are Ti at (0.0000, 0.0000, 0.0719), Mn at (0.0000, 0.0000, 0.1823) and Cu at (0.0000, 0.0000, 0.3268).

(13)
DFT (GGA-PBE) results for a geometry-optimized TiMn2Cu2 structure.

The energy above the most stable polymorph in this dataset is 0.018 eV/atom. The formation energy comes out at 0.1699 eV/atom. The total magnetization is 5.4 μB/f.u.

The structure belongs to space group P4/mbm (No. 127); the cell edges are 6.9827, 6.9827 and 2.8748 Å and the angles 90.00°, 90.00° and 90.00°. The distinct sites, in fractional coordinates, are Ti at (0.0000, 0.0000, 0.0000), Mn at (0.1563, 0.3437, 0.0000) and Cu at (0.1390, 0.6390, 0.5000).

(14)
DFT (GGA-PBE) results for a geometry-optimized TiMn2Cu2 structure.

The energy above the most stable polymorph in this dataset is 0.000 eV/atom. The formation energy comes out at 0.1520 eV/atom. The total magnetization is 5.4 μB/f.u.

The structure belongs to space group P4/mbm (No. 127); the cell edges are 7.0250, 7.0250 and 2.8429 Å and the angles 90.00°, 90.00° and 90.00°. The distinct sites, in fractional coordinates, are Ti at (0.0000, 0.0000, 0.0000), Mn at (0.1730, 0.3270, 0.5000) and Cu at (0.1238, 0.6238, 0.0000).

(15)
DFT (GGA-PBE) results for a geometry-optimized Ti2MnCu structure.

The formation energy comes out at 0.4992 eV/atom. The total magnetization is 1.7 μB/f.u.

The structure belongs to space group Immm (No. 71); the cell edges are 2.6854, 4.6294 and 9.8017 Å and the angles 90.00°, 90.00° and 90.00°. The distinct sites, in fractional coordinates, are Ti at (0.0000, 0.0000, 0.2464), Mn at (0.0000, 0.0000, 0.0000) and Cu at (0.0000, 0.0000, 0.5000).

(16)
DFT (GGA-PBE) results for a geometry-optimized Ti2MnCu structure.

The formation energy comes out at -0.2017 eV/atom. The total magnetization is 0.0 μB/f.u.

The structure belongs to space group P4/mmm (No. 123); the cell edges are 3.0367, 3.0367 and 6.0108 Å and the angles 90.00°, 90.00° and 90.00°. The distinct sites, in fractional coordinates, are Ti at (0.0000, 0.0000, 0.2344), Mn at (0.5000, 0.5000, 0.0000) and Cu at (0.5000, 0.5000, 0.5000).

(17)
DFT (GGA-PBE) results for a geometry-optimized Ti4MnCu3 structure.

The formation energy comes out at -0.1325 eV/atom. The total magnetization is 1.8 μB/f.u.

The structure belongs to space group P4/mmm (No. 123); the cell edges are 3.0247, 3.0247 and 12.4661 Å and the angles 90.00°, 90.00° and 90.00°. The distinct sites, in fractional coordinates, are Ti at (0.0000, 0.0000, 0.1138), Ti at (0.0000, 0.0000, 0.3715), Mn at (0.5000, 0.5000, 0.0000), Cu at (0.5000, 0.5000, 0.2425) and Cu at (0.5000, 0.5000, 0.5000).

(18)
DFT (GGA-PBE) results for a geometry-optimized TiMnCu2 structure.

The formation energy comes out at 0.3384 eV/atom. The total magnetization is 1.5 μB/f.u.

The structure belongs to space group I-42d (No. 122); the cell edges are 3.4635, 3.4635 and 18.6053 Å and the angles 90.00°, 90.00° and 90.00°. The distinct sites, in fractional coordinates, are Ti at (0.0000, 0.0000, 0.0000), Mn at (0.0000, 0.0000, 0.5000) and Cu at (0.2402, 0.2500, 0.6250).

(19)
DFT (GGA-PBE) results for a geometry-optimized TiMnCu structure.

The energy above the most stable polymorph in this dataset is 0.000 eV/atom. The formation energy comes out at -0.0146 eV/atom. The total magnetization is 2.3 μB/f.u.

The structure belongs to space group I4mm (No. 107); the cell edges are 3.1183, 3.1183 and 8.5074 Å and the angles 90.00°, 90.00° and 90.00°. The distinct sites, in fractional coordinates, are Ti at (0.0000, 0.0000, 0.0000), Mn at (0.0000, 0.0000, 0.6626) and Cu at (0.0000, 0.0000, 0.3268).

(20)
DFT (GGA-PBE) results for a geometry-optimized TiMnVCu structure.

The formation energy comes out at -0.0394 eV/atom. The total magnetization is 0.3 μB/f.u.

The structure belongs to space group F-43m (No. 216); the cell edges are 5.9392, 5.9392 and 5.9392 Å and the angles 90.00°, 90.00° and 90.00°. The distinct sites, in fractional coordinates, are Ti at (0.0000, 0.0000, 0.0000), Mn at (0.2500, 0.2500, 0.7500), V at (0.0000, 0.0000, 0.5000) and Cu at (0.2500, 0.2500, 0.2500).

(21)
DFT (GGA-PBE) results for a geometry-optimized Ti2MnZnCu structure.

The formation energy comes out at 1.2068 eV/atom. The total magnetization is 0.0 μB/f.u.

The structure belongs to space group P4/mmm (No. 123); the cell edges are 4.6311, 4.6311 and 4.1815 Å and the angles 90.00°, 90.00° and 90.00°. The distinct sites, in fractional coordinates, are Ti at (0.0000, 0.5000, 0.0000), Mn at (0.0000, 0.0000, 0.5000), Zn at (0.5000, 0.5000, 0.0000) and Cu at (0.5000, 0.5000, 0.5000).

(22)
DFT (GGA-PBE) results for a geometry-optimized TiMnZnCu structure.

The formation energy comes out at -0.0083 eV/atom. The total magnetization is 2.8 μB/f.u.

The structure belongs to space group F-43m (No. 216); the cell edges are 6.0918, 6.0918 and 6.0918 Å and the angles 90.00°, 90.00° and 90.00°. The distinct sites, in fractional coordinates, are Ti at (0.0000, 0.0000, 0.0000), Mn at (0.0000, 0.0000, 0.5000), Zn at (0.2500, 0.2500, 0.7500) and Cu at (0.2500, 0.2500, 0.2500).

(23)
DFT (GGA-PBE) results for a geometry-optimized ZrTiMnCu2 structure.

The formation energy comes out at 0.8016 eV/atom. The total magnetization is 0.2 μB/f.u.

The structure belongs to space group P4/mmm (No. 123); the cell edges are 4.5385, 4.5385 and 4.5206 Å and the angles 90.00°, 90.00° and 90.00°. The distinct sites, in fractional coordinates, are Zr at (0.0000, 0.0000, 0.0000), Ti at (0.5000, 0.5000, 0.0000), Mn at (0.0000, 0.0000, 0.5000) and Cu at (0.0000, 0.5000, 0.5000).

(24)
DFT (GGA-PBE) results for a geometry-optimized MnTlCu2 structure.

The energy above the most stable polymorph in this dataset is 0.033 eV/atom. The formation energy comes out at 0.2983 eV/atom. The total magnetization is 4.0 μB/f.u.

The structure belongs to space group P4mm (No. 99); the cell edges are 3.1198, 3.1198 and 6.6521 Å and the angles 90.00°, 90.00° and 90.00°. The distinct sites, in fractional coordinates, are Mn at (0.0000, 0.0000, 0.0000), Tl at (0.5000, 0.5000, 0.3142), Cu at (0.0000, 0.0000, 0.6025) and Cu at (0.5000, 0.5000, 0.7923).

(25)
DFT (GGA-PBE) results for a geometry-optimized MnTlCu3 structure.

The energy above the most stable polymorph in this dataset is 0.000 eV/atom. The formation energy comes out at 0.8604 eV/atom. The total magnetization is 4.2 μB/f.u.

The structure belongs to space group Pm-3m (No. 221); the cell edges are 4.6815, 4.6815 and 4.6815 Å and the angles 90.00°, 90.00° and 90.00°. The distinct sites, in fractional coordinates, are Mn at (0.0000, 0.0000, 0.0000), Tl at (0.5000, 0.5000, 0.5000) and Cu at (0.0000, 0.0000, 0.5000).

(26)
DFT (GGA-PBE) results for a geometry-optimized MnTlCu2 structure.

The energy above the most stable polymorph in this dataset is 0.284 eV/atom. The formation energy comes out at 0.5491 eV/atom. The total magnetization is 3.5 μB/f.u.

The structure belongs to space group I-42d (No. 122); the cell edges are 3.8600, 3.8600 and 18.5786 Å and the angles 90.00°, 90.00° and 90.00°. The distinct sites, in fractional coordinates, are Mn at (0.0000, 0.0000, 0.0000), Tl at (0.0000, 0.0000, 0.5000) and Cu at (0.2236, 0.2500, 0.1250).

(27)
DFT (GGA-PBE) results for a geometry-optimized MnTlCu2 structure.

The energy above the most stable polymorph in this dataset is 0.070 eV/atom. The formation energy comes out at 0.3344 eV/atom. The total magnetization is 3.8 μB/f.u.

The structure belongs to space group C2/m (No. 12); the cell edges are 8.7512, 3.0545 and 4.9462 Å and the angles 90.00°, 101.25° and 90.00°. The distinct sites, in fractional coordinates, are Mn at (0.0000, 0.0000, 0.0000), Tl at (0.0000, 0.5000, 0.5000) and Cu at (0.2394, 0.5000, 0.2025).